No. 1
This record from the Alexandria database describes Er3TaCl2O6 after structural relaxation. The functional is PBE.

The space group is C2/m (No. 12) and the conventional cell measures 11.398, 6.490 and 5.479 Å, with angles of 90.00, 100.84 and 90.00 degrees. The asymmetric unit holds Er at (0.000, 0.000, 0.000), Er at (0.250, 0.250, 0.500), Ta at (0.000, 0.500, 0.500), Cl at (0.205, 0.000, 0.845), O at (0.058, 0.262, 0.295) and O at (0.170, 0.500, 0.671).

As for the total energy: -7.7708 eV per atom. The value obtained for the density of states at the Fermi level is 0.00 states/eV/f.u.

***

No. 2
This record from the Alexandria database describes Er3TcCl2O6 after structural relaxation. The functional is PBE.

The space group is C2/m (No. 12) and the conventional cell measures 11.258, 6.468 and 5.491 Å, with angles of 90.00, 100.33 and 90.00 degrees. The asymmetric unit holds Er at (0.000, 0.000, 0.000), Er at (0.250, 0.250, 0.500), Tc at (0.000, 0.500, 0.500), Cl at (0.208, 0.000, 0.850), O at (0.058, 0.261, 0.295) and O at (0.170, 0.500, 0.671).

As for the total energy: -7.1359 eV per atom. The value obtained for the density of states at the Fermi level is 6.31 states/eV/f.u.

***

No. 3
This record from the Alexandria database describes ErTeClO4 after structural relaxation. The functional is PBE.

The space group is C2/m (No. 12) and the conventional cell measures 10.232, 7.199 and 6.946 Å, with angles of 90.00, 105.73 and 90.00 degrees. The asymmetric unit holds Er at (0.222, 0.000, 0.116), Te at (0.138, 0.500, 0.279), Cl at (0.017, 0.000, 0.775), O at (0.046, 0.500, 0.760), O at (0.195, 0.313, 0.135) and O at (0.236, 0.500, 0.539).

As for the total energy: -5.9609 eV per atom.

***

No. 4
This record from the Alexandria database describes Er3UCl2O6 after structural relaxation. The functional is PBE.

The space group is C2/m (No. 12) and the conventional cell measures 12.008, 6.704 and 5.400 Å, with angles of 90.00, 102.04 and 90.00 degrees. The asymmetric unit holds Er at (0.000, 0.000, 0.000), Er at (0.250, 0.250, 0.500), U at (0.000, 0.500, 0.500), Cl at (0.195, 0.000, 0.833), O at (0.067, 0.250, 0.290) and O at (0.177, 0.500, 0.665).

As for the total energy: -7.8974 eV per atom. The value obtained for the density of states at the Fermi level is 0.15 states/eV/f.u.